Record 1
Here is PmNdTeAu after structural relaxation from the Alexandria database. Energies are from PBE.

Properties
space-group type = No. 160
calculated density = 8.38 Mg/m³
energy relative to the elements, uncorrected = -1.0597 eV/atom
calculated volume = 30.4 Å³ per atom

Cell lengths 8.018, 8.018, 8.018 Å; angles 31.05, 31.05, 31.05 degrees
Fractional coordinates of all 4 atoms:
Pm 0.000 0.000 0.000
Nd 0.511 0.511 0.511
Te 0.755 0.755 0.755
Au 0.256 0.256 0.256

Record 2
Here is Ho2Pt4Au after structural relaxation from the Alexandria database. Energies are from PBE.

Properties
space-group type = No. 69
calculated density = 15.48 Mg/m³
E above lowest polymorph = 116.4 meV/atom
calculated volume = 20.0 Å³ per atom

Cell lengths 7.180, 6.245, 5.295 Å; angles 76.46, 57.73, 45.81 degrees
Fractional coordinates of all 7 atoms:
Ho 0.145 0.145 0.855
Ho 0.855 0.855 0.145
Pt 0.000 0.000 0.500
Pt 0.250 0.250 0.250
Pt 0.500 0.500 0.000
Pt 0.750 0.750 0.750
Au 0.500 0.500 0.500

Record 3
Here is Be2B after structural relaxation from the Alexandria database. Energies are from PBE.

Properties
space-group type = No. 12
calculated density = 2.12 Mg/m³
E above lowest polymorph = 61.9 meV/atom
calculated volume = 7.5 Å³ per atom

Cell lengths 3.380, 3.380, 4.207 Å; angles 100.10, 100.10, 102.30 degrees
Fractional coordinates of all 6 atoms:
Be 0.193 0.807 0.000
Be 0.282 0.718 0.500
Be 0.718 0.282 0.500
Be 0.807 0.193 0.000
B 0.301 0.301 0.794
B 0.699 0.699 0.206

Record 4
Here is Zr2SiAs after structural relaxation from the Alexandria database. Energies are from PBE.

Properties
space-group type = No. 122
calculated density = 4.24 Mg/m³
E above lowest polymorph = 855.0 meV/atom
energy relative to the elements, uncorrected = -0.0590 eV/atom
calculated volume = 28.0 Å³ per atom

Cell lengths 7.442, 7.442, 7.442 Å; angles 131.89, 131.89, 70.40 degrees
Fractional coordinates of all 8 atoms:
Zr 0.120 0.625 0.995
Zr 0.375 0.370 0.495
Zr 0.630 0.125 0.005
Zr 0.875 0.880 0.505
Si 0.000 0.000 0.000
Si 0.750 0.250 0.500
As 0.250 0.750 0.500
As 0.500 0.500 0.000

Record 5
Here is Ac2PmPrP4 after structural relaxation from the Alexandria database. Energies are from PBE.

Properties
space-group type = No. 10
calculated total energy = -6.406 eV/atom
calculated density = 6.33 Mg/m³
calculated volume = 28.3 Å³ per atom

Cell lengths 7.456, 4.308, 7.475 Å; angles 90.00, 109.39, 90.00 degrees
Fractional coordinates of all 8 atoms:
Ac 0.000 0.000 0.000
Ac 0.500 0.500 0.000
Pm 0.000 0.500 0.500
Pr 0.500 0.000 0.500
P 0.243 0.000 0.736
P 0.252 0.500 0.263
P 0.748 0.500 0.737
P 0.757 0.000 0.264

Record 6
Here is Ba2SrNdS4 after structural relaxation from the Alexandria database. Energies are from PBE.

Properties
space-group type = No. 10
calculated density = 4.53 Mg/m³
energy relative to the elements, uncorrected = -2.0522 eV/atom
calculated volume = 29.1 Å³ per atom

Cell lengths 7.497, 4.317, 7.603 Å; angles 90.00, 109.09, 90.00 degrees
Fractional coordinates of all 8 atoms:
Ba 0.000 0.000 0.000
Ba 0.500 0.500 0.000
Sr 0.000 0.500 0.500
Nd 0.500 0.000 0.500
S 0.251 0.000 0.726
S 0.267 0.500 0.277
S 0.733 0.500 0.723
S 0.749 0.000 0.274

Question: calculated density of number 6 (Ba2SrNdS4)?
Answer: 4.53 Mg/m³

Question: Among the records above, which one has the highest calculated density?
Answer: Ho2Pt4Au

Question: Which of these has the lowest calculated density?
Answer: Be2B